# GGA-PBE LiAl2Cu4Ni, optimized geometry
data_LiAl2Cu4Ni
_chemical_formula_sum 'Li4 Al8 Cu16 Ni4'
_space_group_name_H-M_alt 'I 41/a m d'
_space_group_IT_number 141
_cell_length_a 5.7743
_cell_length_b 5.7743
_cell_length_c 11.6256
_cell_angle_alpha 90.00
_cell_angle_beta 90.00
_cell_angle_gamma 90.00
loop_
_space_group_symop_operation_xyz
'x,y,z'
'-x,-y,-z'
'-y+1/4,x+3/4,z+1/4'
'y+1/4,-x+3/4,-z+1/4'
'-x+1/2,-y,z+1/2'
'x+1/2,y,-z+1/2'
'y+1/4,-x+1/4,z+3/4'
'-y+1/4,x+1/4,-z+3/4'
'x,-y,-z'
'-x,y,z'
'-y+1/4,-x+1/4,-z+3/4'
'y+1/4,x+1/4,z+3/4'
'-x+1/2,y,-z+1/2'
'x+1/2,-y,z+1/2'
'y+1/4,x+3/4,-z+1/4'
'-y+1/4,-x+3/4,z+1/4'
'x+1/2,y+1/2,z+1/2'
'-x+1/2,-y+1/2,-z+1/2'
'-y+3/4,x+1/4,z+3/4'
'y+3/4,-x+1/4,-z+3/4'
'-x,-y+1/2,z'
'x,y+1/2,-z'
'y+3/4,-x+3/4,z+1/4'
'-y+3/4,x+3/4,-z+1/4'
'x+1/2,-y+1/2,-z+1/2'
'-x+1/2,y+1/2,z+1/2'
'-y+3/4,-x+3/4,-z+1/4'
'y+3/4,x+3/4,z+1/4'
'-x,y+1/2,-z'
'x,-y+1/2,z'
'y+3/4,x+1/4,-z+3/4'
'-y+3/4,-x+1/4,z+3/4'
loop_
_atom_site_label
_atom_site_fract_x
_atom_site_fract_y
_atom_site_fract_z
Li1 0.0000 0.2500 0.3750
Al1 0.0000 0.2500 0.1240
Cu1 0.2486 0.0000 0.5000
Ni1 0.0000 0.2500 0.8750
# final energy	-3.953	eV/atom